No. 1
CaTaSe2: relaxed, GGA-PBE.

Results
Uncorrected formation energy ... -711 meV/atom
Theoretical density ... 6.94 g/cm3
SG ... Pmmm (47)
Relative energy among the computed polymorphs ... 160 meV per atom
N(E_F) ... 0.61 states/eV per atom

Cell and atoms, written as POSCAR:
```
CaTaSe2
1.0
3.5394 0.0000 0.0000
0.0000 3.5544 0.0000
0.0000 0.0000 7.2079
Ca Ta Se
1 1 2
Direct
0.0000 0.0000 0.0000 Ca
0.0000 0.5000 0.5000 Ta
0.5000 0.5000 0.2361 Se
0.5000 0.5000 0.7639 Se
```

=====

No. 2
TaTlS2: relaxed, GGA-PBE.

Results
Uncorrected formation energy ... -579 meV/atom
Theoretical density ... 7.87 g/cm3
SG ... C2/c (15)
N(E_F) ... 0.33 states/eV per atom

Cell and atoms, written as POSCAR:
```
TaTlS2
1.0
4.4190 -4.7397 0.0000
4.4190 4.7397 0.0000
-2.4495 0.0000 18.1045
Ta Tl S
8 8 16
Direct
0.1573 0.7997 0.6732 Ta
0.2003 0.8427 0.8268 Ta
0.2024 0.3226 0.8131 Ta
0.3226 0.2024 0.3131 Ta
0.6774 0.7976 0.6869 Ta
0.7976 0.6774 0.1869 Ta
0.7997 0.1573 0.1732 Ta
0.8427 0.2003 0.3268 Ta
0.1093 0.7423 0.4134 Tl
0.2577 0.8907 0.0866 Tl
0.2861 0.3924 0.0902 Tl
0.3924 0.2861 0.5902 Tl
0.6076 0.7139 0.4098 Tl
0.7139 0.6076 0.9098 Tl
0.7423 0.1093 0.9134 Tl
0.8907 0.2577 0.5866 Tl
0.0415 0.9585 0.2500 S
0.0573 0.4322 0.2547 S
0.1303 0.2567 0.4213 S
0.2042 0.5922 0.9173 S
0.2567 0.1303 0.9213 S
0.4060 0.5940 0.7500 S
0.4078 0.7958 0.5827 S
0.4322 0.0573 0.7547 S
0.5678 0.9427 0.2453 S
0.5922 0.2042 0.4173 S
0.5940 0.4060 0.2500 S
0.7433 0.8697 0.0787 S
0.7958 0.4078 0.0827 S
0.8697 0.7433 0.5787 S
0.9427 0.5678 0.7453 S
0.9585 0.0415 0.7500 S
```

=====

No. 3
Ho4Ag2Pd: relaxed, GGA-PBE.

Results
Theoretical density ... 9.11 g/cm3
SG ... R-3m (166)
Calculated formation energy ... -336 meV per atom
N(E_F) ... 0.85 states/eV per atom

Cell and atoms, written as POSCAR:
```
Ho4Ag2Pd
1.0
2.5091 1.4486 8.2045
-2.5091 1.4486 8.2045
0.0000 -2.8973 8.2045
Ho Ag Pd
4 2 1
Direct
0.1240 0.1240 0.1240 Ho
0.3740 0.3740 0.3740 Ho
0.6260 0.6260 0.6260 Ho
0.8760 0.8760 0.8760 Ho
0.2475 0.2475 0.2475 Ag
0.7525 0.7525 0.7525 Ag
0.0000 0.0000 0.0000 Pd
```

=====

No. 4
Tl2CuHg2: relaxed, GGA-PBE.

Results
Theoretical density ... 10.78 g/cm3
SG ... P4/mbm (127)
Calculated formation energy ... 164 meV per atom
Relative energy among the computed polymorphs ... 0 meV per atom
N(E_F) ... 0.51 states/eV per atom

Cell and atoms, written as POSCAR:
```
Tl2CuHg2
1.0
6.9920 0.0000 0.0000
0.0000 6.9920 0.0000
0.0000 0.0000 5.5035
Tl Cu Hg
4 2 4
Direct
0.1761 0.3239 0.0000 Tl
0.3239 0.8239 0.0000 Tl
0.6761 0.1761 0.0000 Tl
0.8239 0.6761 0.0000 Tl
0.0000 0.0000 0.5000 Cu
0.5000 0.5000 0.5000 Cu
0.1564 0.6564 0.5000 Hg
0.3436 0.1564 0.5000 Hg
0.6564 0.8436 0.5000 Hg
0.8436 0.3436 0.5000 Hg
```

=====

No. 5
HoScSiNi: relaxed, GGA-PBE.

Results
Uncorrected formation energy ... -516 meV/atom
Theoretical density ... 6.64 g/cm3
SG ... F-43m (216)
N(E_F) ... 0.24 states/eV per atom

Cell and atoms, written as POSCAR:
```
HoScSiNi
1.0
6.6717 0.0000 0.0000
0.0000 6.6717 0.0000
0.0000 0.0000 6.6717
Ho Sc Si Ni
4 4 4 4
Direct
0.0000 0.0000 0.0000 Ho
0.0000 0.5000 0.5000 Ho
0.5000 0.0000 0.5000 Ho
0.5000 0.5000 0.0000 Ho
0.0000 0.0000 0.5000 Sc
0.0000 0.5000 0.0000 Sc
0.5000 0.0000 0.0000 Sc
0.5000 0.5000 0.5000 Sc
0.2500 0.2500 0.2500 Si
0.2500 0.7500 0.7500 Si
0.7500 0.2500 0.7500 Si
0.7500 0.7500 0.2500 Si
0.2500 0.2500 0.7500 Ni
0.2500 0.7500 0.2500 Ni
0.7500 0.2500 0.2500 Ni
0.7500 0.7500 0.7500 Ni
```

=====

No. 6
AcCeTe2: relaxed, GGA-PBE.

Results
Uncorrected formation energy ... -1290 meV/atom
Theoretical density ... 8.21 g/cm3
SG ... Fm-3m (225)
Relative energy among the computed polymorphs ... 134 meV per atom
N(E_F) ... 2.01 states/eV per atom

Cell and atoms, written as POSCAR:
```
AcCeTe2
1.0
7.9568 0.0000 0.0000
0.0000 7.9568 0.0000
0.0000 0.0000 7.9568
Ac Ce Te
4 4 8
Direct
0.0000 0.0000 0.0000 Ac
0.0000 0.5000 0.5000 Ac
0.5000 0.0000 0.5000 Ac
0.5000 0.5000 0.0000 Ac
0.0000 0.0000 0.5000 Ce
0.0000 0.5000 0.0000 Ce
0.5000 0.0000 0.0000 Ce
0.5000 0.5000 0.5000 Ce
0.2500 0.2500 0.2500 Te
0.2500 0.2500 0.7500 Te
0.2500 0.7500 0.2500 Te
0.2500 0.7500 0.7500 Te
0.7500 0.2500 0.2500 Te
0.7500 0.2500 0.7500 Te
0.7500 0.7500 0.2500 Te
0.7500 0.7500 0.7500 Te
```

=====

No. 7
La2Ce2Ru: relaxed, GGA-PBE.

Results
Theoretical density ... 7.63 g/cm3
SG ... C2/c (15)
Calculated formation energy ... -86 meV per atom
N(E_F) ... 2.17 states/eV per atom

Cell and atoms, written as POSCAR:
```
La2Ce2Ru
1.0
5.9080 -3.5418 0.0000
5.9080 3.5418 0.0000
-1.3297 0.0000 6.8573
La Ce Ru
4 4 2
Direct
0.0594 0.2441 0.1282 La
0.2441 0.0594 0.6282 La
0.7559 0.9406 0.3718 La
0.9406 0.7559 0.8718 La
0.2945 0.5060 0.5102 Ce
0.4940 0.7055 0.9898 Ce
0.5060 0.2945 0.0102 Ce
0.7055 0.4940 0.4898 Ce
0.2398 0.7602 0.2500 Ru
0.7602 0.2398 0.7500 Ru
```

=====

No. 8
PPtCl2: relaxed, GGA-PBE.

Results
Uncorrected formation energy ... 418 meV/atom
Theoretical density ... 6.75 g/cm3
SG ... Cmmm (65)
Relative energy among the computed polymorphs ... 994 meV per atom
N(E_F) ... 0.31 states/eV per atom

Cell and atoms, written as POSCAR:
```
PPtCl2
1.0
5.7269 0.0000 0.0000
0.0000 6.4791 0.0000
0.0000 0.0000 3.9399
P Pt Cl
2 2 4
Direct
0.0000 0.0000 0.0000 P
0.5000 0.5000 0.0000 P
0.0000 0.5000 0.0000 Pt
0.5000 0.0000 0.0000 Pt
0.0000 0.2610 0.5000 Cl
0.0000 0.7390 0.5000 Cl
0.5000 0.2390 0.5000 Cl
0.5000 0.7610 0.5000 Cl
```

=====

no.,size of the total moment (μB per formula unit)
1,0.00
2,0.00
3,0.00
4,0.00
5,0.00
6,2.06
7,0.10
8,0.00